1.
Below is a geometry-optimized MgAs4W structure, with properties calculated at the GGA-PBE level.

a b c (Å): 5.439 5.439 5.439
angles (deg): 60.00 60.00 60.00
Sites, in units of the cell vectors:
1 As 0.373 0.880 0.373
2 As 0.880 0.373 0.373
3 As 0.373 0.373 0.880
4 As 0.373 0.373 0.373
5 W 0.000 0.000 0.000
6 Mg 0.750 0.750 0.750

total moment	0.0000	μB per atom
theoretical density	7.4	Mg/m³
V	18.96	Å³/atom
E_form	786	meV per atom

2.
Below is a geometry-optimized MgAsW2 structure, with properties calculated at the GGA-PBE level.

a b c (Å): 5.301 5.301 5.301
angles (deg): 145.07 128.42 63.82
Sites, in units of the cell vectors:
1 W 0.481 0.481 0.000
2 W 0.019 0.019 0.000
3 Mg 0.750 0.250 0.500
4 As 0.250 0.750 0.500

total moment	0.0000	μB per atom
theoretical density	11.7	Mg/m³
V	16.51	Å³/atom
E_form	386	meV per atom

3.
Below is a geometry-optimized MgAs2W structure, with properties calculated at the GGA-PBE level.

a b c (Å): 4.563 4.563 5.369
angles (deg): 79.22 79.22 41.30
Sites, in units of the cell vectors:
1 As 0.521 0.521 0.455
2 As 0.979 0.979 0.045
3 W 0.250 0.250 0.250
4 Mg 0.750 0.750 0.750

total moment	0.0000	μB per atom
theoretical density	8.2	Mg/m³
V	18.07	Å³/atom
E_form	115	meV per atom

4.
Below is a geometry-optimized MgAs2W structure, with properties calculated at the GGA-PBE level.

a b c (Å): 5.505 5.505 5.505
angles (deg): 139.70 139.70 58.31
Sites, in units of the cell vectors:
1 As 0.000 0.000 0.000
2 As 0.250 0.750 0.500
3 Mg 0.500 0.500 0.000
4 W 0.750 0.250 0.500

total moment	0.0004	μB per atom
theoretical density	8.6	Mg/m³
V	17.28	Å³/atom
E_form	355	meV per atom

5.
Below is a geometry-optimized MgAsW2 structure, with properties calculated at the GGA-PBE level.

a b c (Å): 4.800 4.800 4.800
angles (deg): 129.27 129.27 74.58
Sites, in units of the cell vectors:
1 Mg 0.750 0.250 0.500
2 W 0.000 0.000 0.000
3 W 0.250 0.750 0.500
4 As 0.500 0.500 0.000

total moment	0.0000	μB per atom
theoretical density	12.0	Mg/m³
V	16.15	Å³/atom
E_form	458	meV per atom

6.
Below is a geometry-optimized MgAsW2 structure, with properties calculated at the GGA-PBE level.

a b c (Å): 4.961 4.961 4.564
angles (deg): 80.02 80.02 36.78
Sites, in units of the cell vectors:
1 W 0.005 0.005 0.994
2 W 0.495 0.495 0.506
3 As 0.750 0.750 0.750
4 Mg 0.250 0.250 0.250

total moment	0.0000	μB per atom
theoretical density	11.7	Mg/m³
V	16.53	Å³/atom
E_form	390	meV per atom

7.
Below is a geometry-optimized MgAsW2 structure, with properties calculated at the GGA-PBE level.

a b c (Å): 4.586 2.809 5.211
angles (deg): 86.80 90.00 90.00
Sites, in units of the cell vectors:
1 Mg 0.500 0.750 0.750
2 As 0.500 0.250 0.250
3 W 0.000 0.112 0.993
4 W 0.000 0.388 0.507

total moment	0.0000	μB per atom
theoretical density	11.6	Mg/m³
V	16.75	Å³/atom
E_form	425	meV per atom

8.
Below is a geometry-optimized Mg2AsW structure, with properties calculated at the GGA-PBE level.

a b c (Å): 2.955 3.994 5.956
angles (deg): 90.00 90.00 90.00
Sites, in units of the cell vectors:
1 Mg 0.000 0.000 0.494
2 Mg 0.000 0.000 0.006
3 W 0.500 0.500 0.250
4 As 0.500 0.500 0.750

total moment	0.0000	μB per atom
theoretical density	7.3	Mg/m³
V	17.57	Å³/atom
E_form	348	meV per atom

9.
Below is a geometry-optimized MgAs3W structure, with properties calculated at the GGA-PBE level.

a b c (Å): 4.932 4.932 4.932
angles (deg): 90.00 90.00 90.00
Sites, in units of the cell vectors:
1 W 0.000 0.000 0.000
2 Mg 0.500 0.500 0.500
3 As 0.500 0.000 0.000
4 As 0.000 0.000 0.500
5 As 0.000 0.500 0.000

total moment	0.0000	μB per atom
theoretical density	6.0	Mg/m³
V	23.99	Å³/atom
E_form	416	meV per atom

10.
Below is a geometry-optimized Mg2AsW structure, with properties calculated at the GGA-PBE level.

a b c (Å): 2.973 2.973 9.101
angles (deg): 90.00 90.00 109.05
Sites, in units of the cell vectors:
1 As 0.500 0.500 0.721
2 Mg 0.500 0.500 0.269
3 Mg 0.000 0.000 0.991
4 W 0.000 0.000 0.518

total moment	0.0000	μB per atom
theoretical density	6.7	Mg/m³
V	19.01	Å³/atom
E_form	242	meV per atom

11.
Below is a geometry-optimized Mg2AsW structure, with properties calculated at the GGA-PBE level.

a b c (Å): 4.663 2.844 5.603
angles (deg): 75.49 90.00 90.00
Sites, in units of the cell vectors:
1 As 0.500 0.571 0.733
2 Mg 0.500 0.299 0.273
3 Mg 0.000 0.950 0.984
4 W 0.000 0.681 0.510

total moment	0.0000	μB per atom
theoretical density	7.1	Mg/m³
V	17.98	Å³/atom
E_form	171	meV per atom

12.
Below is a geometry-optimized Mg2AsW structure, with properties calculated at the GGA-PBE level.

a b c (Å): 4.047 4.109 4.109
angles (deg): 90.00 90.00 90.00
Each line ends with the local moment (μB).
Sites, in units of the cell vectors:
1 As 0.500 0.000 0.500  0.00
2 Mg 0.000 0.000 0.000  0.00
3 Mg 0.000 0.500 0.500  0.00
4 W 0.500 0.500 0.000  0.18

total moment	0.0559	μB per atom
theoretical density	7.5	Mg/m³
V	17.08	Å³/atom
E_form	414	meV per atom

13.
Below is a geometry-optimized MgAs2W structure, with properties calculated at the GGA-PBE level.

a b c (Å): 7.463 7.463 7.463
angles (deg): 26.62 26.62 26.62
Sites, in units of the cell vectors:
1 Mg 0.750 0.750 0.750
2 W 0.250 0.250 0.250
3 As 0.506 0.506 0.506
4 As 0.994 0.994 0.994

total moment	0.0000	μB per atom
theoretical density	8.1	Mg/m³
V	18.38	Å³/atom
E_form	-90	meV per atom

14.
Below is a geometry-optimized Mg2AsW structure, with properties calculated at the GGA-PBE level.

a b c (Å): 5.132 5.132 5.132
angles (deg): 134.27 134.27 66.67
Sites, in units of the cell vectors:
1 W 0.500 0.500 0.000
2 As 0.750 0.250 0.500
3 Mg 0.000 0.000 0.000
4 Mg 0.250 0.750 0.500

total moment	0.0009	μB per atom
theoretical density	7.5	Mg/m³
V	17.05	Å³/atom
E_form	300	meV per atom

15.
Below is a geometry-optimized Mg2AsW structure, with properties calculated at the GGA-PBE level.

a b c (Å): 5.041 5.041 5.203
angles (deg): 85.06 85.06 32.65
Sites, in units of the cell vectors:
1 Mg 0.997 0.997 0.014
2 Mg 0.242 0.242 0.256
3 As 0.760 0.760 0.714
4 W 0.501 0.501 0.516

total moment	0.0000	μB per atom
theoretical density	7.2	Mg/m³
V	17.76	Å³/atom
E_form	240	meV per atom

16.
Below is a geometry-optimized MgAsW2 structure, with properties calculated at the GGA-PBE level.

a b c (Å): 3.073 3.073 7.220
angles (deg): 90.00 90.00 90.00
Sites, in units of the cell vectors:
1 As 0.500 0.500 0.250
2 W 0.000 0.000 0.452
3 W 0.000 0.000 0.048
4 Mg 0.500 0.500 0.750

total moment	0.0000	μB per atom
theoretical density	11.4	Mg/m³
V	17.05	Å³/atom
E_form	528	meV per atom

17.
Below is a geometry-optimized Mg2AsW structure, with properties calculated at the GGA-PBE level.

a b c (Å): 2.867 2.867 8.741
angles (deg): 90.00 90.00 90.00
Sites, in units of the cell vectors:
1 Mg 0.000 0.000 0.004
2 Mg 0.000 0.000 0.496
3 As 0.500 0.500 0.750
4 W 0.500 0.500 0.250

total moment	0.0000	μB per atom
theoretical density	7.1	Mg/m³
V	17.97	Å³/atom
E_form	184	meV per atom

18.
Below is a geometry-optimized MgAs2W structure, with properties calculated at the GGA-PBE level.

a b c (Å): 4.777 3.402 4.853
angles (deg): 69.75 90.00 90.00
Sites, in units of the cell vectors:
1 As 0.000 0.828 0.968
2 As 0.500 0.201 0.228
3 Mg 0.000 0.547 0.524
4 W 0.500 0.924 0.779

total moment	0.0000	μB per atom
theoretical density	8.0	Mg/m³
V	18.49	Å³/atom
E_form	71	meV per atom

19.
Below is a geometry-optimized MgAsW2 structure, with properties calculated at the GGA-PBE level.

a b c (Å): 4.762 4.762 4.932
angles (deg): 79.00 79.00 37.02
Sites, in units of the cell vectors:
1 W 0.000 0.000 0.990
2 W 0.761 0.761 0.744
3 Mg 0.244 0.244 0.252
4 As 0.495 0.495 0.514

total moment	0.0000	μB per atom
theoretical density	11.8	Mg/m³
V	16.49	Å³/atom
E_form	442	meV per atom

20.
Below is a geometry-optimized MgAs2W structure, with properties calculated at the GGA-PBE level.

a b c (Å): 2.842 2.842 10.105
angles (deg): 90.00 90.00 106.14
Sites, in units of the cell vectors:
1 As 0.000 0.000 0.941
2 As 0.500 0.500 0.296
3 W 0.500 0.500 0.746
4 Mg 0.000 0.000 0.517

total moment	0.0000	μB per atom
theoretical density	7.6	Mg/m³
V	19.61	Å³/atom
E_form	205	meV per atom